15
Lattice="-2.561 4.259 7.449 1.857 -3.509 8.027 5.635 3.596 5.263" Properties=species:S:1:pos:R:3 comment="Dy8Ho6Mg | the Alexandria database | PBE | optimized geometry" delta_e_f_ev_per_atom=0.101 dft_energy_ev_per_atom=-4.29 relative_energy_ev_per_atom=0.000 sg="No. 148" rho_g_cm3=8.19 pbc="T T T"
Ho 1.072 -0.518 6.721
Ho 3.859 4.864 14.019
Ho 5.485 1.975 15.205
Ho 4.124 4.291 17.482
Ho 0.807 0.055 3.257
Ho -0.553 2.370 5.534
Dy 0.786 4.217 8.466
Dy 3.806 2.937 10.394
Dy 3.528 -0.613 9.053
Dy 3.091 2.139 7.171
Dy 1.126 1.409 10.346
Dy 4.145 0.129 12.273
Dy 1.841 2.207 13.568
Dy 1.403 4.958 11.687
Mg 0.000 0.000 0.000